# NaMg2Tl8, relaxed, DFT PBE
data_NaMg2Tl8
_cell_length_a 17.032
_cell_length_b 4.858
_cell_length_c 7.913
_cell_angle_alpha 90.00
_cell_angle_beta 108.59
_cell_angle_gamma 90.00
_space_group_name_H-M_alt 'C 1 2/m 1'
_space_group_IT_number 12
loop_
_space_group_symop_operation_xyz
'x,y,z'
'-x,-y,-z'
'-x,y,-z'
'x,-y,z'
'x+1/2,y+1/2,z'
'-x+1/2,-y+1/2,-z'
'-x+1/2,y+1/2,-z'
'x+1/2,-y+1/2,z'
loop_
_atom_site_label
_atom_site_fract_x
_atom_site_fract_y
_atom_site_fract_z
Na1 0.000 0.000 0.000
Mg1 0.229 0.500 0.642
Tl1 0.049 0.500 0.732
Tl2 0.101 0.000 0.470
Tl3 0.143 0.500 0.204
Tl4 0.182 0.000 0.922
# Distance to the lowest polymorph of the same formula in eV per atom: 0.000
# Total DFT energy (no corrections) in Ry/atom: -0.159

=====

# NaMgTl14, relaxed, DFT PBE
data_NaMgTl14
_cell_length_a 10.969
_cell_length_b 7.934
_cell_length_c 10.988
_cell_angle_alpha 90.00
_cell_angle_beta 90.00
_cell_angle_gamma 90.00
_space_group_name_H-M_alt 'A m m 2'
_space_group_IT_number 38
loop_
_space_group_symop_operation_xyz
'x,y,z'
'-x,-y,z'
'-x,y,z'
'x,-y,z'
'x,y+1/2,z+1/2'
'-x,-y+1/2,z+1/2'
'-x,y+1/2,z+1/2'
'x,-y+1/2,z+1/2'
loop_
_atom_site_label
_atom_site_fract_x
_atom_site_fract_y
_atom_site_fract_z
Na1 0.000 0.000 0.000
Mg1 0.000 0.000 0.463
Tl1 0.000 0.219 0.734
Tl2 0.237 0.000 0.253
Tl3 0.240 0.228 0.518
Tl4 0.261 0.000 0.784
Tl5 0.500 0.000 0.017
Tl6 0.500 0.000 0.535
Tl7 0.500 0.232 0.275
# Total DFT energy (no corrections) in Ry/atom: -0.166

=====

# Na2Mg12Tl7, relaxed, DFT PBE
data_Na2Mg12Tl7
_cell_length_a 13.0123
_cell_length_b 13.0123
_cell_length_c 3.5281
_cell_angle_alpha 90.00
_cell_angle_beta 90.00
_cell_angle_gamma 120.00
_space_group_name_H-M_alt 'P -3'
_space_group_IT_number 147
loop_
_space_group_symop_operation_xyz
'x,y,z'
'-x,-y,-z'
'-y,x-y,z'
'y,-x+y,-z'
'-x+y,-x,z'
'x-y,x,-z'
loop_
_atom_site_label
_atom_site_fract_x
_atom_site_fract_y
_atom_site_fract_z
Na1 0.3333 0.6667 0.2542
Mg1 0.0730 0.4537 0.7502
Mg2 0.0788 0.2470 0.2433
Tl1 0.0000 0.0000 0.5000
Tl2 0.1399 0.7114 0.7554
# Total DFT energy (no corrections) in Ry/atom: -0.138

=====

# NaMg3Tl3, relaxed, DFT PBE
data_NaMg3Tl3
_cell_length_a 8.085
_cell_length_b 8.085
_cell_length_c 8.085
_cell_angle_alpha 90.00
_cell_angle_beta 90.00
_cell_angle_gamma 90.00
_space_group_name_H-M_alt 'P m -3 n'
_space_group_IT_number 223
_space_group_name_Hall '-P 4n 2 3'
loop_
_atom_site_label
_atom_site_fract_x
_atom_site_fract_y
_atom_site_fract_z
Na1 0.000 0.000 0.000
Mg1 0.000 0.250 0.500
Tl1 0.000 0.500 0.250
# Distance to the lowest polymorph of the same formula in eV per atom: 0.324
# Total DFT energy (no corrections) in Ry/atom: -0.116

=====

# NaMgTl2, relaxed, DFT PBE
data_NaMgTl2
_cell_length_a 3.5190
_cell_length_b 3.5190
_cell_length_c 30.3885
_cell_angle_alpha 90.00
_cell_angle_beta 90.00
_cell_angle_gamma 120.00
_space_group_name_H-M_alt 'R -3 m'
_space_group_IT_number 166
_space_group_name_Hall '-R 3 2"'
loop_
_atom_site_label
_atom_site_fract_x
_atom_site_fract_y
_atom_site_fract_z
Na1 0.0000 0.0000 0.0000
Mg1 0.0000 0.0000 0.5000
Tl1 0.0000 0.0000 0.2465
# Distance to the lowest polymorph of the same formula in eV per atom: 0.058
# Total DFT energy (no corrections) in Ry/atom: -0.144

=====

# Na5MgTl2, relaxed, DFT PBE
data_Na5MgTl2
_cell_length_a 6.966
_cell_length_b 13.816
_cell_length_c 4.826
_cell_angle_alpha 90.00
_cell_angle_beta 90.00
_cell_angle_gamma 90.00
_space_group_name_H-M_alt 'P b a m'
_space_group_IT_number 55
loop_
_space_group_symop_operation_xyz
'x,y,z'
'-x,-y,-z'
'-x,-y,z'
'x,y,-z'
'x+1/2,-y+1/2,-z'
'-x+1/2,y+1/2,z'
'-x+1/2,y+1/2,-z'
'x+1/2,-y+1/2,z'
loop_
_atom_site_label
_atom_site_fract_x
_atom_site_fract_y
_atom_site_fract_z
Na1 0.000 0.000 0.000
Na2 0.055 0.250 0.000
Na3 0.216 0.873 0.500
Mg1 0.000 0.500 0.000
Tl1 0.197 0.612 0.500
# Total DFT energy (no corrections) in Ry/atom: -0.123

=====

# NaMg3Tl5, relaxed, DFT PBE
data_NaMg3Tl5
_cell_length_a 16.057
_cell_length_b 9.315
_cell_length_c 6.422
_cell_angle_alpha 90.00
_cell_angle_beta 90.00
_cell_angle_gamma 90.00
_space_group_name_H-M_alt 'C m c m'
_space_group_IT_number 63
_space_group_name_Hall '-C 2c 2'
loop_
_atom_site_label
_atom_site_fract_x
_atom_site_fract_y
_atom_site_fract_z
Na1 0.000 0.000 0.000
Mg1 0.000 0.366 0.250
Mg2 0.183 0.182 0.750
Tl1 0.000 0.303 0.750
Tl2 0.152 0.152 0.250
Tl3 0.167 0.500 0.000
# Total DFT energy (no corrections) in Ry/atom: -0.148

=====

# Na2MgTl3, relaxed, DFT PBE
data_Na2MgTl3
_cell_length_a 5.131
_cell_length_b 15.391
_cell_length_c 8.165
_cell_angle_alpha 90.00
_cell_angle_beta 90.00
_cell_angle_gamma 90.00
_space_group_name_H-M_alt 'C m m m'
_space_group_IT_number 65
_space_group_name_Hall '-C 2 2'
loop_
_atom_site_label
_atom_site_fract_x
_atom_site_fract_y
_atom_site_fract_z
Na1 0.000 0.000 0.000
Na2 0.000 0.000 0.500
Na3 0.000 0.335 0.000
Mg1 0.000 0.332 0.500
Tl1 0.000 0.169 0.263
Tl2 0.000 0.500 0.263
# Distance to the lowest polymorph of the same formula in eV per atom: 0.000
# Total DFT energy (no corrections) in Ry/atom: -0.146

=====

| no. | ΔH_f (0 K) (eV/atom) |
| --- | --- |
| 1 | -0.029 |
| 2 | -0.008 |
| 3 | -0.052 |
| 4 | 0.314 |
| 5 | -0.053 |
| 6 | -0.054 |
| 7 | -0.016 |
| 8 | -0.099 |